(a)
! Ce2InIr, optimized geometry, DFT PBE; values from VASP
&SYSTEM
  ibrav = 0, nat = 4, ntyp = 3
/
ATOMIC_SPECIES
Ce 140.12 Ce.upf
In 114.82 In.upf
Ir 192.22 Ir.upf
CELL_PARAMETERS angstrom
3.770 0.000 0.000
0.000 3.770 0.000
0.000 0.000 6.816
ATOMIC_POSITIONS crystal
Ce 0.000 0.000 0.205
Ce 0.000 0.000 0.795
In 0.500 0.500 0.500
Ir 0.500 0.500 0.000
! Total magnetic moment = 0.87 μB/f.u.


(b)
! Ce2InIr, optimized geometry, DFT PBE; values from VASP
&SYSTEM
  ibrav = 0, nat = 4, ntyp = 3
/
ATOMIC_SPECIES
Ce 140.12 Ce.upf
Ir 192.22 Ir.upf
In 114.82 In.upf
CELL_PARAMETERS angstrom
-1.871 -2.494 2.469
2.098 -2.542 2.225
0.514 3.937 7.568
ATOMIC_POSITIONS crystal
Ce 0.732 0.732 0.803
Ce 0.268 0.268 0.197
Ir 0.000 0.000 0.000
In 0.500 0.500 0.500
! Total magnetic moment = 1.09 μB/f.u.


Stability check: which of them is least stable? (b).


(a)
! Ce2InIr, optimized geometry, DFT PBE; values from VASP
&SYSTEM
  ibrav = 0, nat = 8, ntyp = 3
/
ATOMIC_SPECIES
Ce 140.12 Ce.upf
Ir 192.22 Ir.upf
In 114.82 In.upf
CELL_PARAMETERS angstrom
-2.638 -2.161 -1.272
-4.180 -3.233 3.750
-7.085 8.821 -0.291
ATOMIC_POSITIONS crystal
Ce 0.250 0.250 0.823
Ce 0.250 0.750 0.618
Ce 0.750 0.250 0.382
Ce 0.750 0.750 0.177
Ir 0.250 0.750 0.366
Ir 0.750 0.250 0.634
In 0.750 0.250 0.082
In 0.250 0.750 0.918
! Total magnetic moment = 1.70 μB/f.u.


(b)
! Ce2InIr, optimized geometry, DFT PBE; values from VASP
&SYSTEM
  ibrav = 0, nat = 8, ntyp = 3
/
ATOMIC_SPECIES
Ir 192.22 Ir.upf
In 114.82 In.upf
Ce 140.12 Ce.upf
CELL_PARAMETERS angstrom
3.828 0.000 0.000
-1.914 7.074 0.051
0.000 -0.361 7.657
ATOMIC_POSITIONS crystal
Ir 0.606 0.212 0.569
Ir 0.394 0.788 0.431
In 0.395 0.789 0.041
In 0.605 0.211 0.959
Ce 0.955 0.909 0.706
Ce 0.767 0.533 0.296
Ce 0.045 0.091 0.294
Ce 0.233 0.467 0.704
! Total magnetic moment = 1.44 μB/f.u.


(c)
! Ce2InIr, optimized geometry, DFT PBE; values from VASP
&SYSTEM
  ibrav = 0, nat = 4, ntyp = 3
/
ATOMIC_SPECIES
Ce 140.12 Ce.upf
Ir 192.22 Ir.upf
In 114.82 In.upf
CELL_PARAMETERS angstrom
4.420 0.000 0.000
0.000 4.529 0.000
0.000 0.000 4.529
ATOMIC_POSITIONS crystal
Ce 0.000 0.500 0.000
Ce 0.000 0.000 0.500
Ir 0.500 0.500 0.500
In 0.500 0.000 0.000
! Total magnetic moment = 0.00 μB/f.u.


(d)
! Ce2InIr, optimized geometry, DFT PBE; values from VASP
&SYSTEM
  ibrav = 0, nat = 4, ntyp = 3
/
ATOMIC_SPECIES
Ce 140.12 Ce.upf
In 114.82 In.upf
Ir 192.22 Ir.upf
CELL_PARAMETERS angstrom
3.994 0.000 0.000
1.997 3.459 0.000
1.997 1.153 8.271
ATOMIC_POSITIONS crystal
Ce 0.269 0.269 0.194
Ce 0.065 0.065 0.806
In 0.499 0.499 0.503
Ir 0.668 0.668 0.997
! Total magnetic moment = 1.23 μB/f.u.


Stability check: which of them is least stable? (a).


(a)
! Ce3InIr, optimized geometry, DFT PBE; values from VASP
&SYSTEM
  ibrav = 0, nat = 10, ntyp = 3
/
ATOMIC_SPECIES
Ce 140.12 Ce.upf
In 114.82 In.upf
Ir 192.22 Ir.upf
CELL_PARAMETERS angstrom
3.880 0.003 0.000
1.940 6.490 0.000
0.000 0.000 11.115
ATOMIC_POSITIONS crystal
Ce 0.347 0.306 0.779
Ce 0.653 0.694 0.721
Ce 0.032 0.935 0.000
Ce 0.968 0.065 0.500
Ce 0.653 0.694 0.279
Ce 0.347 0.306 0.221
In 0.253 0.496 0.500
In 0.747 0.504 0.000
Ir 0.000 0.000 0.250
Ir 0.000 0.000 0.750
! Total magnetic moment = 2.66 μB/f.u.


(b)
! Ce3InIr, optimized geometry, DFT PBE; values from VASP
&SYSTEM
  ibrav = 0, nat = 10, ntyp = 3
/
ATOMIC_SPECIES
Ce 140.12 Ce.upf
In 114.82 In.upf
Ir 192.22 Ir.upf
CELL_PARAMETERS angstrom
-4.513 -2.775 -2.664
0.096 -1.780 5.656
-2.517 8.121 0.423
ATOMIC_POSITIONS crystal
Ce 0.609 0.689 0.298
Ce 0.391 0.311 0.702
Ce 0.206 0.706 0.912
Ce 0.189 0.109 0.298
Ce 0.794 0.294 0.088
Ce 0.811 0.891 0.702
In 0.204 0.704 0.500
In 0.796 0.296 0.500
Ir 0.250 0.250 0.000
Ir 0.750 0.750 0.000
! Total magnetic moment = 2.58 μB/f.u.


Stability check: which of them is least stable? (a).


(a)
! LaCeIn, optimized geometry, DFT PBE; values from VASP
&SYSTEM
  ibrav = 0, nat = 6, ntyp = 3
/
ATOMIC_SPECIES
In 114.82 In.upf
La 138.91 La.upf
Ce 140.12 Ce.upf
CELL_PARAMETERS angstrom
-3.247 4.498 -0.062
-6.052 -0.969 -1.548
-1.205 2.629 5.622
ATOMIC_POSITIONS crystal
In 0.884 0.255 0.775
In 0.391 0.748 0.269
La 0.137 0.669 0.854
La 0.137 0.333 0.190
Ce 0.637 0.859 0.664
Ce 0.637 0.143 0.380
! Total magnetic moment = 0.61 μB/f.u.


(b)
! LaCeIn, optimized geometry, DFT PBE; values from VASP
&SYSTEM
  ibrav = 0, nat = 6, ntyp = 3
/
ATOMIC_SPECIES
In 114.82 In.upf
La 138.91 La.upf
Ce 140.12 Ce.upf
CELL_PARAMETERS angstrom
5.479 0.000 0.000
-2.739 4.956 3.690
0.000 1.786 7.845
ATOMIC_POSITIONS crystal
In 0.996 0.993 0.188
In 0.004 0.007 0.812
La 0.730 0.459 0.836
La 0.270 0.541 0.164
Ce 0.386 0.773 0.517
Ce 0.614 0.227 0.483
! Total magnetic moment = 0.53 μB/f.u.


Stability check: which of them is least stable? (a).


(a)
! LaCeIn, optimized geometry, DFT PBE; values from VASP
&SYSTEM
  ibrav = 0, nat = 3, ntyp = 3
/
ATOMIC_SPECIES
Ce 140.12 Ce.upf
In 114.82 In.upf
La 138.91 La.upf
CELL_PARAMETERS angstrom
-3.020 -1.243 -2.623
-0.426 -3.554 2.175
-1.771 4.633 3.189
ATOMIC_POSITIONS crystal
Ce 0.291 0.291 0.583
In 0.948 0.948 0.896
La 0.611 0.611 0.221
! Total magnetic moment = 1.00 μB/f.u.


(b)
! LaCeIn, optimized geometry, DFT PBE; values from VASP
&SYSTEM
  ibrav = 0, nat = 3, ntyp = 3
/
ATOMIC_SPECIES
Ce 140.12 Ce.upf
In 114.82 In.upf
La 138.91 La.upf
CELL_PARAMETERS angstrom
3.227 0.000 0.000
0.000 5.428 0.000
0.000 -2.714 4.701
ATOMIC_POSITIONS crystal
Ce 0.166 0.000 0.000
In 0.667 0.667 0.333
La 0.168 0.333 0.667
! Total magnetic moment = 0.49 μB/f.u.


Stability check: which of them is least stable? (b).


(a)
! LaCe2In6, optimized geometry, DFT PBE; values from VASP
&SYSTEM
  ibrav = 0, nat = 9, ntyp = 3
/
ATOMIC_SPECIES
In 114.82 In.upf
La 138.91 La.upf
Ce 140.12 Ce.upf
CELL_PARAMETERS angstrom
3.652 0.000 0.000
0.000 7.627 -4.404
0.000 0.000 8.807
ATOMIC_POSITIONS crystal
In 0.500 0.335 0.000
In 0.500 0.335 0.335
In 0.500 0.000 0.665
In 0.500 0.665 0.000
In 0.500 0.665 0.665
In 0.500 0.000 0.335
La 0.000 0.000 0.000
Ce 0.000 0.333 0.667
Ce 0.000 0.667 0.333
! Total magnetic moment = 1.53 μB/f.u.


(b)
! LaCe2In6, optimized geometry, DFT PBE; values from VASP
&SYSTEM
  ibrav = 0, nat = 9, ntyp = 3
/
ATOMIC_SPECIES
In 114.82 In.upf
Ce 140.12 Ce.upf
La 138.91 La.upf
CELL_PARAMETERS angstrom
-4.501 1.891 -0.011
-4.235 -3.812 -6.192
-5.343 -6.410 1.081
ATOMIC_POSITIONS crystal
In 0.304 0.390 0.001
In 0.696 0.610 0.999
In 0.304 0.001 0.390
In 0.500 0.702 0.298
In 0.500 0.298 0.702
In 0.696 0.999 0.610
Ce 0.101 0.399 0.399
Ce 0.899 0.601 0.601
La 0.000 0.000 0.000
! Total magnetic moment = 1.87 μB/f.u.


Stability check: which of them is least stable? (b).


(a)
! LaCeInPb, optimized geometry, DFT PBE; values from VASP
&SYSTEM
  ibrav = 0, nat = 4, ntyp = 4
/
ATOMIC_SPECIES
Ce 140.12 Ce.upf
Pb 207.20 Pb.upf
La 138.91 La.upf
In 114.82 In.upf
CELL_PARAMETERS angstrom
5.096 0.000 0.000
0.000 5.096 0.000
-2.548 -2.548 4.621
ATOMIC_POSITIONS crystal
Ce 0.250 0.750 0.500
Pb 0.500 0.500 0.000
La 0.750 0.250 0.500
In 0.000 0.000 0.000
! Total magnetic moment = 1.42 μB/f.u.


(b)
! LaCeInPb, optimized geometry, DFT PBE; values from VASP
&SYSTEM
  ibrav = 0, nat = 4, ntyp = 4
/
ATOMIC_SPECIES
In 114.82 In.upf
Ce 140.12 Ce.upf
Pb 207.20 Pb.upf
La 138.91 La.upf
CELL_PARAMETERS angstrom
5.582 0.000 0.000
2.791 4.834 0.000
2.791 1.611 4.557
ATOMIC_POSITIONS crystal
In 0.250 0.250 0.250
Ce 0.000 0.000 0.000
Pb 0.750 0.750 0.750
La 0.500 0.500 0.500
! Total magnetic moment = 1.31 μB/f.u.


Stability check: which of them is least stable? (b).


(a)
! LaCeInSn, optimized geometry, DFT PBE; values from VASP
&SYSTEM
  ibrav = 0, nat = 4, ntyp = 4
/
ATOMIC_SPECIES
La 138.91 La.upf
In 114.82 In.upf
Sn 118.71 Sn.upf
Ce 140.12 Ce.upf
CELL_PARAMETERS angstrom
4.169 0.000 0.000
0.000 4.169 0.000
0.000 0.000 6.791
ATOMIC_POSITIONS crystal
La 0.500 0.500 0.598
In 0.000 0.000 0.868
Sn 0.000 0.000 0.346
Ce 0.500 0.500 0.117
! Total magnetic moment = 1.47 μB/f.u.


(b)
! LaCeInSn, optimized geometry, DFT PBE; values from VASP
&SYSTEM
  ibrav = 0, nat = 4, ntyp = 4
/
ATOMIC_SPECIES
Ce 140.12 Ce.upf
Sn 118.71 Sn.upf
La 138.91 La.upf
In 114.82 In.upf
CELL_PARAMETERS angstrom
5.530 0.000 0.000
2.765 4.789 0.000
2.765 1.596 4.515
ATOMIC_POSITIONS crystal
Ce 0.500 0.500 0.500
Sn 0.250 0.250 0.250
La 0.000 0.000 0.000
In 0.750 0.750 0.750
! Total magnetic moment = 1.30 μB/f.u.


Stability check: which of them is least stable? (b).


(a)
! LaCeTlIn, optimized geometry, DFT PBE; values from VASP
&SYSTEM
  ibrav = 0, nat = 4, ntyp = 4
/
ATOMIC_SPECIES
In 114.82 In.upf
Tl 204.38 Tl.upf
Ce 140.12 Ce.upf
La 138.91 La.upf
CELL_PARAMETERS angstrom
5.561 0.000 0.000
2.781 4.816 0.000
2.781 1.605 4.541
ATOMIC_POSITIONS crystal
In 0.500 0.500 0.500
Tl 0.000 0.000 0.000
Ce 0.250 0.250 0.250
La 0.750 0.750 0.750
! Total magnetic moment = 1.04 μB/f.u.


(b)
! LaCeTlIn, optimized geometry, DFT PBE; values from VASP
&SYSTEM
  ibrav = 0, nat = 4, ntyp = 4
/
ATOMIC_SPECIES
Tl 204.38 Tl.upf
La 138.91 La.upf
In 114.82 In.upf
Ce 140.12 Ce.upf
CELL_PARAMETERS angstrom
-3.848 -0.455 -2.494
1.410 -4.681 -1.321
-2.407 -1.869 4.054
ATOMIC_POSITIONS crystal
Tl 0.000 0.000 0.000
La 0.500 0.500 0.000
In 0.000 0.500 0.500
Ce 0.500 0.000 0.500
! Total magnetic moment = 1.40 μB/f.u.


Stability check: which of them is least stable? (a).


(a)
! LiCeIn, optimized geometry, DFT PBE; values from VASP
&SYSTEM
  ibrav = 0, nat = 3, ntyp = 3
/
ATOMIC_SPECIES
Li 6.94 Li.upf
Ce 140.12 Ce.upf
In 114.82 In.upf
CELL_PARAMETERS angstrom
3.239 0.000 0.000
0.000 5.105 0.000
0.000 -2.553 4.421
ATOMIC_POSITIONS crystal
Li 0.834 0.000 0.000
Ce 0.333 0.333 0.667
In 0.833 0.667 0.333
! Total magnetic moment = 1.14 μB/f.u.


(b)
! LiCeIn, optimized geometry, DFT PBE; values from VASP
&SYSTEM
  ibrav = 0, nat = 3, ntyp = 3
/
ATOMIC_SPECIES
Li 6.94 Li.upf
Ce 140.12 Ce.upf
In 114.82 In.upf
CELL_PARAMETERS angstrom
-0.305 -2.777 -1.479
4.601 -1.260 1.417
-3.900 0.093 4.008
ATOMIC_POSITIONS crystal
Li 0.330 0.330 0.659
Ce 0.006 0.006 0.013
In 0.664 0.664 0.328
! Total magnetic moment = 1.34 μB/f.u.


(c)
! LiCeIn, optimized geometry, DFT PBE; values from VASP
&SYSTEM
  ibrav = 0, nat = 3, ntyp = 3
/
ATOMIC_SPECIES
Ce 140.12 Ce.upf
In 114.82 In.upf
Li 6.94 Li.upf
CELL_PARAMETERS angstrom
-0.196 -0.853 3.103
0.033 -3.109 -0.853
6.682 1.940 -0.719
ATOMIC_POSITIONS crystal
Ce 0.616 0.616 0.233
In 0.930 0.930 0.860
Li 0.303 0.303 0.607
! Total magnetic moment = 0.45 μB/f.u.


Stability check: which of them is least stable? (b).


(a)
! LiCeInPb, optimized geometry, DFT PBE; values from VASP
&SYSTEM
  ibrav = 0, nat = 4, ntyp = 4
/
ATOMIC_SPECIES
Li 6.94 Li.upf
Pb 207.20 Pb.upf
Ce 140.12 Ce.upf
In 114.82 In.upf
CELL_PARAMETERS angstrom
4.546 0.000 0.000
0.000 4.732 0.000
0.000 0.000 4.856
ATOMIC_POSITIONS crystal
Li 0.000 0.500 0.500
Pb 0.500 0.500 0.000
Ce 0.000 0.000 0.000
In 0.500 0.000 0.500
! Total magnetic moment = 0.96 μB/f.u.


(b)
! LiCeInPb, optimized geometry, DFT PBE; values from VASP
&SYSTEM
  ibrav = 0, nat = 4, ntyp = 4
/
ATOMIC_SPECIES
Li 6.94 Li.upf
Ce 140.12 Ce.upf
Pb 207.20 Pb.upf
In 114.82 In.upf
CELL_PARAMETERS angstrom
5.292 0.000 0.000
2.646 4.583 0.000
2.646 1.528 4.321
ATOMIC_POSITIONS crystal
Li 0.000 0.000 0.000
Ce 0.500 0.500 0.500
Pb 0.750 0.750 0.750
In 0.250 0.250 0.250
! Total magnetic moment = 1.10 μB/f.u.


Stability check: which of them is least stable? (b).


(a)
! LiCeInSn, optimized geometry, DFT PBE; values from VASP
&SYSTEM
  ibrav = 0, nat = 4, ntyp = 4
/
ATOMIC_SPECIES
Sn 118.71 Sn.upf
Ce 140.12 Ce.upf
Li 6.94 Li.upf
In 114.82 In.upf
CELL_PARAMETERS angstrom
-4.224 2.176 -2.166
-4.540 -2.580 -0.033
-3.943 1.615 3.018
ATOMIC_POSITIONS crystal
Sn 0.250 0.250 0.250
Ce 0.500 0.500 0.500
Li 0.000 0.000 0.000
In 0.750 0.750 0.750
! Total magnetic moment = 1.01 μB/f.u.


(b)
! LiCeInSn, optimized geometry, DFT PBE; values from VASP
&SYSTEM
  ibrav = 0, nat = 4, ntyp = 4
/
ATOMIC_SPECIES
Li 6.94 Li.upf
Ce 140.12 Ce.upf
Sn 118.71 Sn.upf
In 114.82 In.upf
CELL_PARAMETERS angstrom
4.525 0.000 0.000
0.000 4.610 0.000
0.000 0.000 4.809
ATOMIC_POSITIONS crystal
Li 0.500 0.500 0.000
Ce 0.500 0.000 0.500
Sn 0.000 0.500 0.500
In 0.000 0.000 0.000
! Total magnetic moment = 0.86 μB/f.u.


Stability check: which of them is least stable? (a).


(a)
! CeMg2In, optimized geometry, DFT PBE; values from VASP
&SYSTEM
  ibrav = 0, nat = 4, ntyp = 3
/
ATOMIC_SPECIES
Ce 140.12 Ce.upf
In 114.82 In.upf
Mg 24.30 Mg.upf
CELL_PARAMETERS angstrom
4.861 0.000 0.000
0.000 4.619 0.000
0.000 0.000 4.619
ATOMIC_POSITIONS crystal
Ce 0.500 0.500 0.500
In 0.500 0.000 0.000
Mg 0.000 0.000 0.500
Mg 0.000 0.500 0.000
! Total magnetic moment = 0.95 μB/f.u.


(b)
! CeMg2In, optimized geometry, DFT PBE; values from VASP
&SYSTEM
  ibrav = 0, nat = 4, ntyp = 3
/
ATOMIC_SPECIES
Mg 24.30 Mg.upf
Ce 140.12 Ce.upf
In 114.82 In.upf
CELL_PARAMETERS angstrom
5.223 -0.019 -0.027
-2.599 4.533 0.024
-2.598 -1.512 4.274
ATOMIC_POSITIONS crystal
Mg 0.625 0.063 0.687
Mg 0.125 0.813 0.937
Ce 0.125 0.313 0.437
In 0.625 0.562 0.188
! Total magnetic moment = 1.00 μB/f.u.


Stability check: which of them is least stable? (a).